1.
## H12Pt5Au3 (PBE)

Data for a relaxed H12Pt5Au3 crystal.

Unit cell a=10.0168 b=10.0168 c=10.0168 alpha=109.47 beta=109.47 gamma=109.47
Fractional positions:
Au: 0.7500 0.3750 0.1250
Au: 0.8750 0.7500 0.1250
Au: 0.3750 0.7500 0.6250
Au: 0.2500 0.1250 0.3750
Au: 0.8750 0.1250 0.2500
Au: 0.3750 0.6250 0.2500
Au: 0.6250 0.3750 0.7500
Au: 0.1250 0.8750 0.7500
Au: 0.7500 0.8750 0.6250
Au: 0.6250 0.2500 0.3750
Au: 0.1250 0.2500 0.8750
Au: 0.2500 0.6250 0.8750
Pt: 0.1250 0.3750 0.2500
Pt: 0.0000 0.5000 0.0000
Pt: 0.0000 0.0000 0.0000
Pt: 0.3750 0.2500 0.1250
Pt: 0.5000 0.0000 0.5000
Pt: 0.5000 0.5000 0.0000
Pt: 0.1250 0.7500 0.3750
Pt: 0.7500 0.1250 0.8750
Pt: 0.7500 0.6250 0.3750
Pt: 0.3750 0.1250 0.7500
Pt: 0.6250 0.8750 0.2500
Pt: 0.5000 0.5000 0.5000
Pt: 0.5000 0.0000 0.0000
Pt: 0.0000 0.0000 0.5000
Pt: 0.2500 0.3750 0.6250
Pt: 0.2500 0.8750 0.1250
Pt: 0.0000 0.5000 0.5000
Pt: 0.8750 0.2500 0.6250
Pt: 0.6250 0.7500 0.8750
Pt: 0.8750 0.6250 0.7500
H: 0.6887 0.1282 0.0180
H: 0.3293 0.5180 0.3898
H: 0.9820 0.3718 0.3113
H: 0.5180 0.1887 0.1282
H: 0.5605 0.6887 0.6707
H: 0.9820 0.6102 0.1707
H: 0.3293 0.8113 0.4395
H: 0.1102 0.9395 0.1282
H: 0.6102 0.9820 0.6707
H: 0.6887 0.5605 0.1707
H: 0.8113 0.4820 0.3718
H: 0.8293 0.8898 0.0180
H: 0.1282 0.6887 0.5180
H: 0.3718 0.3898 0.0605
H: 0.0605 0.8898 0.3718
H: 0.4395 0.1282 0.6102
H: 0.0605 0.1707 0.1887
H: 0.4820 0.6707 0.1102
H: 0.8293 0.9395 0.3113
H: 0.1282 0.4395 0.1102
H: 0.3718 0.9820 0.8113
H: 0.6102 0.6282 0.4395
H: 0.8898 0.8293 0.5180
H: 0.8113 0.3293 0.9395
H: 0.3898 0.3718 0.5605
H: 0.1102 0.1707 0.4820
H: 0.1887 0.6707 0.0605
H: 0.1707 0.0605 0.6887
H: 0.6282 0.0180 0.1887
H: 0.8718 0.5605 0.8898
H: 0.5180 0.3293 0.8898
H: 0.5605 0.8718 0.3898
H: 0.9395 0.8293 0.8113
H: 0.9395 0.1102 0.6282
H: 0.8718 0.3113 0.4820
H: 0.1707 0.1102 0.9820
H: 0.6282 0.6102 0.9395
H: 0.3898 0.0180 0.3293
H: 0.3113 0.4395 0.8293
H: 0.1887 0.5180 0.6282
H: 0.8898 0.0605 0.8718
H: 0.6707 0.1887 0.5605
H: 0.4820 0.8113 0.8718
H: 0.0180 0.3898 0.8293
H: 0.4395 0.3113 0.3293
H: 0.0180 0.6282 0.6887
H: 0.6707 0.4820 0.6102
H: 0.3113 0.8718 0.9820

## Properties
Space-group type: No. 230
DOS at the Fermi energy in states/eV/f.u.: 0.426
E_tot in eV per atom: -3.7931
Crystal system: cubic

2.
## H4PtAu (PBE)

Data for a relaxed H4PtAu crystal.

Unit cell a=4.6046 b=4.8905 c=6.9969 alpha=118.56 beta=117.75 gamma=67.01
Fractional positions:
H: 0.2448 0.9491 0.9002
H: 0.6554 0.4511 0.9002
H: 0.8282 0.7382 0.3767
H: 0.1718 0.2618 0.6233
H: 0.4515 0.8615 0.6233
H: 0.3446 0.5489 0.0998
H: 0.5485 0.1385 0.3767
H: 0.7552 0.0509 0.0998
Pt: 0.4403 0.1903 0.8806
Pt: 0.5597 0.8097 0.1194
Au: 0.1605 0.4105 0.3211
Au: 0.8395 0.5895 0.6789

## Properties
Space-group type: No. 15
DOS at the Fermi energy in states/eV/f.u.: 0.441
E_tot in eV per atom: -3.6566
Crystal system: monoclinic

3.
## HPt3Au (PBE)

Data for a relaxed HPt3Au crystal.

Unit cell a=4.0768 b=4.0768 c=4.0768 alpha=90.00 beta=90.00 gamma=90.00
Fractional positions:
H: 0.0000 0.0000 0.0000
Au: 0.5000 0.5000 0.5000
Pt: 0.0000 0.5000 0.0000
Pt: 0.0000 0.0000 0.5000
Pt: 0.5000 0.0000 0.0000

## Properties
Space-group type: No. 221
DOS at the Fermi energy in states/eV/f.u.: 3.920
E_tot in eV per atom: -4.8460
Crystal system: cubic

4.
## HPt3Au (PBE)

Data for a relaxed HPt3Au crystal.

Unit cell a=4.8474 b=5.6859 c=5.6860 alpha=120.00 beta=90.00 gamma=90.00
Fractional positions:
H: 0.0000 0.0000 0.0000
H: 0.5000 0.0000 0.0000
Pt: 0.7500 0.6621 0.8311
Pt: 0.2500 0.8310 0.6620
Pt: 0.2500 0.3379 0.1690
Pt: 0.7500 0.1690 0.3380
Pt: 0.2500 0.8310 0.1690
Pt: 0.7500 0.1690 0.8311
Au: 0.7500 0.6667 0.3334
Au: 0.2500 0.3333 0.6666

## Properties
Space-group type: No. 194
DOS at the Fermi energy in states/eV/f.u.: 5.988
E_tot in eV per atom: -4.8156
Crystal system: hexagonal

5.
## H3PtAu (PBE)

Data for a relaxed H3PtAu crystal.

Unit cell a=5.3795 b=5.1870 c=5.6778 alpha=91.27 beta=62.30 gamma=60.06
Fractional positions:
H: 0.5240 0.7958 0.5529
H: 0.9650 0.2442 0.8415
H: 0.1139 0.8009 0.5615
H: 0.8861 0.1991 0.4385
H: 0.4760 0.2042 0.4471
H: 0.0350 0.7558 0.1585
Pt: 0.2192 0.0792 0.4849
Pt: 0.7808 0.9208 0.5151
Au: 0.6880 0.6661 0.9481
Au: 0.3120 0.3339 0.0519

## Properties
Space-group type: No. 2
DOS at the Fermi energy in states/eV/f.u.: 0.584
E_tot in eV per atom: -3.7622
Crystal system: triclinic

6.
## H2PtAu2 (PBE)

Data for a relaxed H2PtAu2 crystal.

Unit cell a=3.0927 b=3.0927 c=6.6246 alpha=76.50 beta=76.50 gamma=90.00
Fractional positions:
H: 0.7500 0.2500 0.5000
H: 0.2500 0.7500 0.5000
Au: 0.3529 0.3529 0.2941
Au: 0.6471 0.6471 0.7059
Pt: 0.0000 0.0000 0.0000

## Properties
Space-group type: No. 139
DOS at the Fermi energy in states/eV/f.u.: 1.643
E_tot in eV per atom: -3.4701
Crystal system: tetragonal

7.
## ReHPt2Au (PBE)

Data for a relaxed ReHPt2Au crystal.

Unit cell a=5.0389 b=5.0100 c=5.0389 alpha=90.00 beta=90.00 gamma=90.00
Fractional positions:
Re: 0.0000 0.5000 0.0000
Au: 0.0000 0.0000 0.0000
Pt: 0.0000 0.0000 0.5000
Pt: 0.5000 0.0000 0.0000
H: 0.5000 0.5000 0.5000

## Properties
Space-group type: No. 123
DOS at the Fermi energy in states/eV/f.u.: 4.630
E_tot in eV per atom: -3.7898
Crystal system: tetragonal

8.
## ReHPt2Au (PBE)

Data for a relaxed ReHPt2Au crystal.

Unit cell a=4.9147 b=3.3272 c=4.9147 alpha=90.00 beta=90.00 gamma=90.00
Fractional positions:
Re: 0.0000 0.0000 0.0000
Au: 0.5000 0.5000 0.5000
Pt: 0.0000 0.0000 0.5000
Pt: 0.5000 0.0000 0.0000
H: 0.0000 0.5000 0.0000

## Properties
Space-group type: No. 123
DOS at the Fermi energy in states/eV/f.u.: 3.932
E_tot in eV per atom: -5.4256
Crystal system: tetragonal

9.
## HRuPt2Au (PBE)

Data for a relaxed HRuPt2Au crystal.

Unit cell a=4.0461 b=4.0461 c=4.0144 alpha=90.00 beta=90.00 gamma=90.00
Fractional positions:
Ru: 0.0000 0.0000 0.5000
Au: 0.5000 0.5000 0.5000
Pt: 0.0000 0.5000 0.0000
Pt: 0.5000 0.0000 0.0000
H: 0.0000 0.0000 0.0000

## Properties
Space-group type: No. 123
DOS at the Fermi energy in states/eV/f.u.: 5.783
E_tot in eV per atom: -5.3547
Crystal system: tetragonal

10.
## ScHPt2Au (PBE)

Data for a relaxed ScHPt2Au crystal.

Unit cell a=4.0654 b=4.2421 c=4.0654 alpha=90.00 beta=90.00 gamma=90.00
Fractional positions:
Sc: 0.0000 0.5000 0.0000
H: 0.0000 0.0000 0.0000
Au: 0.5000 0.5000 0.5000
Pt: 0.0000 0.0000 0.5000
Pt: 0.5000 0.0000 0.0000

## Properties
Space-group type: No. 123
DOS at the Fermi energy in states/eV/f.u.: 1.934
E_tot in eV per atom: -5.5860
Crystal system: tetragonal

11.
## ScHPt2Au (PBE)

Data for a relaxed ScHPt2Au crystal.

Unit cell a=4.0911 b=4.0911 c=4.2511 alpha=90.00 beta=90.00 gamma=90.00
Fractional positions:
Sc: 0.5000 0.5000 0.5000
H: 0.0000 0.0000 0.0000
Au: 0.0000 0.0000 0.5000
Pt: 0.0000 0.5000 0.0000
Pt: 0.5000 0.0000 0.0000

## Properties
Space-group type: No. 123
DOS at the Fermi energy in states/eV/f.u.: 2.154
E_tot in eV per atom: -5.4889
Crystal system: tetragonal

12.
## Sr2H6PtAu (PBE)

Data for a relaxed Sr2H6PtAu crystal.

Unit cell a=5.5149 b=5.5149 c=5.5927 alpha=119.55 beta=119.55 gamma=90.18
Fractional positions:
Sr: 0.7498 0.2505 0.4998
Sr: 0.2500 0.7503 0.4998
H: 0.7714 0.7719 0.9979
H: 0.7760 0.7764 0.5535
H: 0.2284 0.2289 0.0017
H: 0.7726 0.2277 0.9998
H: 0.2238 0.2243 0.4461
H: 0.2272 0.7731 0.9998
Pt: 0.9999 0.0004 0.9998
Au: 0.4999 0.5004 0.9998

## Properties
Space-group type: No. 12
DOS at the Fermi energy in states/eV/f.u.: 0.609
E_tot in eV per atom: -3.7585
Crystal system: monoclinic

13.
## Sr2HPtAu (PBE)

Data for a relaxed Sr2HPtAu crystal.

Unit cell a=5.3019 b=5.3019 c=3.8601 alpha=90.00 beta=90.00 gamma=90.00
Fractional positions:
Sr: 0.0000 0.5000 0.0000
Sr: 0.5000 0.0000 0.0000
Au: 0.0000 0.0000 0.5000
Pt: 0.5000 0.5000 0.5000
H: 0.0000 0.0000 0.0000

## Properties
Space-group type: No. 123
DOS at the Fermi energy in states/eV/f.u.: 2.190
E_tot in eV per atom: -3.8042
Crystal system: tetragonal

14.
## Sr2HPtAu (PBE)

Data for a relaxed Sr2HPtAu crystal.

Unit cell a=5.4221 b=5.4221 c=3.7126 alpha=90.00 beta=90.00 gamma=90.00
Fractional positions:
Sr: 0.0000 0.5000 0.0000
Sr: 0.5000 0.0000 0.0000
Au: 0.5000 0.5000 0.5000
Pt: 0.0000 0.0000 0.5000
H: 0.0000 0.0000 0.0000

## Properties
Space-group type: No. 123
DOS at the Fermi energy in states/eV/f.u.: 2.008
E_tot in eV per atom: -3.9118
Crystal system: tetragonal

15.
## Tl2HPtAu (PBE)

Data for a relaxed Tl2HPtAu crystal.

Unit cell a=5.4666 b=5.4666 c=3.4958 alpha=90.00 beta=90.00 gamma=90.00
Fractional positions:
H: 0.0000 0.0000 0.5000
Tl: 0.0000 0.5000 0.0000
Tl: 0.5000 0.0000 0.0000
Au: 0.5000 0.5000 0.5000
Pt: 0.0000 0.0000 0.0000

## Properties
Space-group type: No. 123
DOS at the Fermi energy in states/eV/f.u.: 1.098
E_tot in eV per atom: -3.4501
Crystal system: tetragonal

16.
## Tl2HPtAu (PBE)

Data for a relaxed Tl2HPtAu crystal.

Unit cell a=5.3742 b=5.3742 c=3.3690 alpha=90.00 beta=90.00 gamma=90.00
Fractional positions:
H: 0.0000 0.0000 0.0000
Tl: 0.0000 0.5000 0.0000
Tl: 0.5000 0.0000 0.0000
Au: 0.5000 0.5000 0.5000
Pt: 0.0000 0.0000 0.5000

## Properties
Space-group type: No. 123
DOS at the Fermi energy in states/eV/f.u.: 1.392
E_tot in eV per atom: -3.3745
Crystal system: tetragonal

17.
## YHPtAu2 (PBE)

Data for a relaxed YHPtAu2 crystal.

Unit cell a=4.2111 b=4.2111 c=4.5728 alpha=90.00 beta=90.00 gamma=90.00
Fractional positions:
Y: 0.0000 0.0000 0.5000
H: 0.0000 0.0000 0.0000
Au: 0.0000 0.5000 0.0000
Au: 0.5000 0.0000 0.0000
Pt: 0.5000 0.5000 0.5000

## Properties
Space-group type: No. 123
DOS at the Fermi energy in states/eV/f.u.: 2.918
E_tot in eV per atom: -4.8456
Crystal system: tetragonal

18.
## YH2PtAu (PBE)

Data for a relaxed YH2PtAu crystal.

Unit cell a=3.9005 b=5.7792 c=3.9005 alpha=90.00 beta=90.00 gamma=90.00
Fractional positions:
Y: 0.0000 0.0000 0.0000
H: 0.0000 0.0000 0.5000
H: 0.5000 0.0000 0.0000
Au: 0.0000 0.5000 0.0000
Pt: 0.5000 0.5000 0.5000

## Properties
Space-group type: No. 123
DOS at the Fermi energy in states/eV/f.u.: 1.362
E_tot in eV per atom: -4.4334
Crystal system: tetragonal

19.
## Zn2HPtAu (PBE)

Data for a relaxed Zn2HPtAu crystal.

Unit cell a=4.3517 b=4.3517 c=3.4881 alpha=90.00 beta=90.00 gamma=90.00
Fractional positions:
H: 0.0000 0.0000 0.0000
Zn: 0.0000 0.5000 0.0000
Zn: 0.5000 0.0000 0.0000
Au: 0.5000 0.5000 0.5000
Pt: 0.0000 0.0000 0.5000

## Properties
Space-group type: No. 123
DOS at the Fermi energy in states/eV/f.u.: 1.858
E_tot in eV per atom: -3.1792
Crystal system: tetragonal

20.
## ZnHPtAu2 (PBE)

Data for a relaxed ZnHPtAu2 crystal.

Unit cell a=4.3856 b=4.3856 c=3.6532 alpha=90.00 beta=90.00 gamma=90.00
Fractional positions:
H: 0.0000 0.0000 0.0000
Zn: 0.5000 0.5000 0.5000
Au: 0.0000 0.5000 0.0000
Au: 0.5000 0.0000 0.0000
Pt: 0.0000 0.0000 0.5000

## Properties
Space-group type: No. 123
DOS at the Fermi energy in states/eV/f.u.: 0.617
E_tot in eV per atom: -3.4412
Crystal system: tetragonal